DFT (PBE) results for an optimized crystal structure of PmNdP2.

Output
Energy relative to the lowest polymorph listed for this composition: 0.000 eV per atom
Density: 5.77 g cm⁻³
DFT total energy: -0.24392 hartree per atom
Symmetry: I4_1/amd (141)
ΔH_f (0 K): -6.2 eV/f.u.
Spin magnetization: 0.00 Bohr magnetons per cell

abc: 5.865 5.865 11.745
angles: 90.00 90.00 90.00
Positions (direct):
Pm  0.000  0.250  0.375
Pm  0.000  0.750  0.625
Pm  0.500  0.250  0.125
Pm  0.500  0.750  0.875
Nd  0.000  0.250  0.875
Nd  0.000  0.750  0.125
Nd  0.500  0.250  0.625
Nd  0.500  0.750  0.375
P  0.000  0.250  0.126
P  0.000  0.250  0.624
P  0.000  0.750  0.376
P  0.000  0.750  0.874
P  0.500  0.250  0.374
P  0.500  0.250  0.876
P  0.500  0.750  0.124
P  0.500  0.750  0.626

DFT (PBE) results for an optimized crystal structure of PmNd3P4.

Output
Energy relative to the lowest polymorph listed for this composition: 0.000 eV per atom
Density: 5.73 g cm⁻³
DFT total energy: -0.24379 hartree per atom
Symmetry: Pm-3m (221)
ΔH_f (0 K): -12.4 eV/f.u.
Spin magnetization: 0.00 Bohr magnetons per cell

abc: 5.880 5.880 5.880
angles: 90.00 90.00 90.00
Positions (direct):
Pm  0.000  0.000  0.000
Nd  0.000  0.500  0.500
Nd  0.500  0.000  0.500
Nd  0.500  0.500  0.000
P  0.000  0.000  0.500
P  0.000  0.500  0.000
P  0.500  0.000  0.000
P  0.500  0.500  0.500

DFT (PBE) results for an optimized crystal structure of Pm2NdP.

Output
Energy relative to the lowest polymorph listed for this composition: 0.150 eV per atom
Density: 6.81 g cm⁻³
DFT total energy: -0.20017 hartree per atom
Symmetry: P4/mmm (123)
ΔH_f (0 K): -2.1 eV/f.u.
Spin magnetization: 0.45 Bohr magnetons per cell

abc: 3.717 3.717 8.213
angles: 90.00 90.00 90.00
Positions (direct):
Pm  0.000  0.000  0.189
Pm  0.000  0.000  0.811
Nd  0.500  0.500  0.500
P  0.500  0.500  0.000

DFT (PBE) results for an optimized crystal structure of Pm3Nd5P8.

Output
Density: 5.75 g cm⁻³
DFT total energy: -0.24376 hartree per atom
Symmetry: R-3m (166)
ΔH_f (0 K): -24.8 eV/f.u.
Spin magnetization: 0.00 Bohr magnetons per cell

abc: 8.308 8.308 8.308
angles: 60.00 60.00 60.00
Positions (direct):
Pm  0.000  0.500  0.500
Pm  0.500  0.000  0.500
Pm  0.500  0.500  0.000
Nd  0.000  0.000  0.000
Nd  0.000  0.000  0.500
Nd  0.000  0.500  0.000
Nd  0.500  0.000  0.000
Nd  0.500  0.500  0.500
P  0.250  0.250  0.749
P  0.250  0.749  0.250
P  0.251  0.251  0.251
P  0.251  0.750  0.750
P  0.749  0.250  0.250
P  0.749  0.749  0.749
P  0.750  0.251  0.750
P  0.750  0.750  0.251

DFT (PBE) results for an optimized crystal structure of Pm2NdP.

Output
Energy relative to the lowest polymorph listed for this composition: 0.000 eV per atom
Density: 6.10 g cm⁻³
DFT total energy: -0.20568 hartree per atom
Symmetry: R-3m (166)
ΔH_f (0 K): -2.7 eV/f.u.
Spin magnetization: 0.00 Bohr magnetons per cell

abc: 3.908 3.908 28.733
angles: 90.00 90.00 120.00
Positions (direct):
Pm  0.000  0.000  0.226
Pm  0.000  0.000  0.774
Pm  0.333  0.667  0.441
Pm  0.333  0.667  0.892
Pm  0.667  0.333  0.108
Pm  0.667  0.333  0.559
Nd  0.000  0.000  0.000
Nd  0.333  0.667  0.667
Nd  0.667  0.333  0.333
P  0.000  0.000  0.500
P  0.333  0.667  0.167
P  0.667  0.333  0.833

DFT (PBE) results for an optimized crystal structure of PmNdP2.

Output
Energy relative to the lowest polymorph listed for this composition: 0.002 eV per atom
Density: 5.77 g cm⁻³
DFT total energy: -0.24385 hartree per atom
Symmetry: R-3m (166)
ΔH_f (0 K): -6.2 eV/f.u.
Spin magnetization: 0.00 Bohr magnetons per cell

abc: 4.152 4.152 20.314
angles: 90.00 90.00 120.00
Positions (direct):
Pm  0.000  0.000  0.000
Pm  0.333  0.667  0.667
Pm  0.667  0.333  0.333
Nd  0.000  0.000  0.500
Nd  0.333  0.667  0.167
Nd  0.667  0.333  0.833
P  0.000  0.000  0.251
P  0.000  0.000  0.749
P  0.333  0.667  0.416
P  0.333  0.667  0.917
P  0.667  0.333  0.083
P  0.667  0.333  0.584

DFT (PBE) results for an optimized crystal structure of Pm2PrNd3P6.

Output
Density: 5.70 g cm⁻³
DFT total energy: -0.24363 hartree per atom
Symmetry: C2/m (12)
ΔH_f (0 K): -18.5 eV/f.u.
Spin magnetization: 0.00 Bohr magnetons per cell

abc: 7.208 7.208 7.210
angles: 99.58 99.58 119.99
Positions (direct):
Pm  0.167  0.833  0.000
Pm  0.833  0.167  0.000
Pr  0.500  0.500  0.000
Nd  0.000  0.000  0.500
Nd  0.334  0.666  0.500
Nd  0.666  0.334  0.500
P  0.081  0.417  0.751
P  0.247  0.247  0.249
P  0.417  0.081  0.751
P  0.583  0.919  0.249
P  0.753  0.753  0.751
P  0.919  0.583  0.249

DFT (PBE) results for an optimized crystal structure of PmPr2Nd3P6.

Output
Density: 5.63 g cm⁻³
DFT total energy: -0.24341 hartree per atom
Symmetry: C2/m (12)
ΔH_f (0 K): -18.4 eV/f.u.
Spin magnetization: 0.00 Bohr magnetons per cell

abc: 9.331 9.331 8.348
angles: 102.94 102.94 25.86
Positions (direct):
Pm  0.000  0.000  0.000
Pr  0.334  0.334  0.667
Pr  0.666  0.666  0.333
Nd  0.000  0.000  0.500
Nd  0.333  0.333  0.166
Nd  0.667  0.667  0.834
P  0.166  0.166  0.081
P  0.166  0.166  0.585
P  0.499  0.499  0.248
P  0.501  0.501  0.752
P  0.834  0.834  0.415
P  0.834  0.834  0.919

DFT (PBE) results for an optimized crystal structure of PmNd2PuP4.

Output
Density: 6.76 g cm⁻³
DFT total energy: -0.28355 hartree per atom
Symmetry: P2/m (10)
ΔH_f (0 K): -11.5 eV/f.u.
Spin magnetization: 4.87 Bohr magnetons per cell

abc: 7.117 4.120 7.119
angles: 90.00 109.47 90.00
Positions (direct):
Pm  0.000  0.000  0.000
Nd  0.000  0.500  0.500
Nd  0.500  0.000  0.500
Pu  0.500  0.500  0.000
P  0.254  0.500  0.243
P  0.260  0.000  0.761
P  0.740  0.000  0.239
P  0.746  0.500  0.757

DFT (PBE) results for an optimized crystal structure of PmNd2P3Rh12.

Output
Density: 9.54 g cm⁻³
DFT total energy: -0.25410 hartree per atom
Symmetry: R-3m (166)
ΔH_f (0 K): -5.7 eV/f.u.
Spin magnetization: 0.00 Bohr magnetons per cell

abc: 6.775 6.775 6.775
angles: 84.20 84.20 84.20
Positions (direct):
Pm  0.000  0.000  0.000
Nd  0.372  0.372  0.372
Nd  0.628  0.628  0.628
P  0.000  0.000  0.500
P  0.000  0.500  0.000
P  0.500  0.000  0.000
Rh  0.089  0.634  0.634
Rh  0.179  0.179  0.663
Rh  0.179  0.663  0.179
Rh  0.337  0.821  0.821
Rh  0.366  0.366  0.911
Rh  0.366  0.911  0.366
Rh  0.634  0.089  0.634
Rh  0.634  0.634  0.089
Rh  0.663  0.179  0.179
Rh  0.821  0.337  0.821
Rh  0.821  0.821  0.337
Rh  0.911  0.366  0.366

DFT (PBE) results for an optimized crystal structure of Pm2NdP3Rh12.

Output
Density: 9.57 g cm⁻³
DFT total energy: -0.25445 hartree per atom
Symmetry: R-3m (166)
ΔH_f (0 K): -5.9 eV/f.u.
Spin magnetization: 0.00 Bohr magnetons per cell

abc: 6.769 6.769 6.769
angles: 84.26 84.26 84.26
Positions (direct):
Pm  0.128  0.128  0.128
Pm  0.872  0.872  0.872
Nd  0.500  0.500  0.500
P  0.000  0.500  0.500
P  0.500  0.000  0.500
P  0.500  0.500  0.000
Rh  0.133  0.133  0.590
Rh  0.133  0.590  0.133
Rh  0.162  0.679  0.679
Rh  0.321  0.321  0.838
Rh  0.321  0.838  0.321
Rh  0.410  0.867  0.867
Rh  0.590  0.133  0.133
Rh  0.679  0.162  0.679
Rh  0.679  0.679  0.162
Rh  0.838  0.321  0.321
Rh  0.867  0.410  0.867
Rh  0.867  0.867  0.410

DFT (PBE) results for an optimized crystal structure of PmNdPS.

Output
Density: 5.97 g cm⁻³
DFT total energy: -0.24315 hartree per atom
Symmetry: R3m (160)
Formation energy (no corrections): -1.852 eV per atom
Spin magnetization: 0.00 Bohr magnetons per cell

abc: 4.100 4.100 20.202
angles: 90.00 90.00 120.00
Positions (direct):
Pm  0.000  0.000  0.000
Pm  0.333  0.667  0.667
Pm  0.667  0.333  0.333
Nd  0.000  0.000  0.505
Nd  0.333  0.667  0.172
Nd  0.667  0.333  0.839
P  0.000  0.000  0.253
P  0.333  0.667  0.920
P  0.667  0.333  0.587
S  0.000  0.000  0.752
S  0.333  0.667  0.418
S  0.667  0.333  0.085